*w*
Crystalline Bi2PtAu2 at its relaxed geometry, computed with PBE.

Results
* crystal system: tetragonal

abc: 7.5581 7.5581 4.2427
angles: 90.00 90.00 90.00
Fractional coordinates of all 10 atoms:
Bi1 0.3258 0.8258 0.0000
Au1 0.6334 0.8666 0.5000
Bi2 0.6742 0.1742 0.0000
Bi3 0.1742 0.3258 0.0000
Pt1 0.0000 0.0000 0.0000
Bi4 0.8258 0.6742 0.0000
Au2 0.8666 0.3666 0.5000
Au3 0.3666 0.1334 0.5000
Pt2 0.5000 0.5000 0.0000
Au4 0.1334 0.6334 0.5000

*x*
Crystalline Bi2PtAu2 at its relaxed geometry, computed with PBE.

Results
* crystal system: tetragonal

abc: 7.3330 7.3330 4.2377
angles: 90.00 90.00 90.00
Fractional coordinates of all 10 atoms:
Bi1 0.6730 0.8270 0.5000
Au1 0.6374 0.1374 0.0000
Bi2 0.1730 0.6730 0.5000
Bi3 0.3270 0.1730 0.5000
Au2 0.3626 0.8626 0.0000
Pt1 0.5000 0.5000 0.0000
Au3 0.1374 0.3626 0.0000
Pt2 0.0000 0.0000 0.0000
Bi4 0.8270 0.3270 0.5000
Au4 0.8626 0.6374 0.0000

Name the least stable of them. *w*.

*w*
Crystalline Pu2BiAu at its relaxed geometry, computed with PBE.

Results
* crystal system: tetragonal

abc: 3.7042 3.7043 7.7284
angles: 90.00 90.00 90.00
Fractional coordinates of all 4 atoms:
Pu1 0.0000 0.0000 0.2285
Au1 0.5000 0.5000 0.0000
Bi1 0.5000 0.5000 0.5000
Pu2 0.0000 0.0000 0.7715

*x*
Crystalline Pu2BiAu at its relaxed geometry, computed with PBE.

Results
* crystal system: trigonal

abc: 3.5296 3.5296 9.3416
angles: 79.11 79.11 60.00
Fractional coordinates of all 4 atoms:
Pu1 0.3525 0.3525 0.9425
Au1 0.2493 0.2493 0.2520
Pu2 0.0680 0.0680 0.7959
Bi1 0.8301 0.8301 0.5096

*y*
Crystalline Pu2BiAu at its relaxed geometry, computed with PBE.

Results
* crystal system: tetragonal

abc: 4.0667 4.0667 6.2910
angles: 90.00 90.00 90.00
Fractional coordinates of all 4 atoms:
Au1 0.5000 0.5000 0.0000
Pu1 0.0000 0.0000 0.7569
Bi1 0.5000 0.5000 0.5000
Pu2 0.0000 0.0000 0.2431

*z*
Crystalline Pu2BiAu at its relaxed geometry, computed with PBE.

Results
* crystal system: tetragonal

abc: 4.2455 4.9742 4.9742
angles: 90.00 90.00 90.00
Fractional coordinates of all 4 atoms:
Bi1 0.5000 0.5000 0.5000
Pu1 0.0000 0.0000 0.5000
Au1 0.5000 0.0000 0.0000
Pu2 0.0000 0.5000 0.0000

Name the least stable of them. *x*.

*w*
Crystalline Pu2BiAu2 at its relaxed geometry, computed with PBE.

Results
* crystal system: orthorhombic

abc: 4.7540 5.7351 5.7351
angles: 72.76 65.51 65.51
Fractional coordinates of all 5 atoms:
Bi1 0.0000 0.0000 0.0000
Au1 0.5000 0.2956 0.7044
Pu1 0.7982 0.7018 0.7018
Au2 0.5000 0.7044 0.2956
Pu2 0.2018 0.2982 0.2982

*x*
Crystalline Pu2BiAu2 at its relaxed geometry, computed with PBE.

Results
* crystal system: tetragonal

abc: 3.4665 8.5777 8.5777
angles: 90.00 90.00 90.00
Fractional coordinates of all 10 atoms:
Bi1 0.0000 0.0000 0.0000
Pu1 0.5000 0.8220 0.3220
Au1 0.0000 0.3827 0.8827
Bi2 0.0000 0.5000 0.5000
Pu2 0.5000 0.6780 0.8220
Pu3 0.5000 0.3220 0.1780
Pu4 0.5000 0.1780 0.6780
Au2 0.0000 0.8827 0.6173
Au3 0.0000 0.6173 0.1173
Au4 0.0000 0.1173 0.3827

Name the least stable of them. *w*.